First-principles (GGA+U) data for a relaxed structure of RbCeMo2O8, as listed in Alexandria via LeMat-Bulk.

The density of states at the Fermi level is 0.633 states/eV/atom. As for the total energy: -7.19 eV per atom. For the size of the total moment, the calculation gives 0.0841 μB/atom.

Lattice parameters (Å, degrees): 6.151 6.151 8.036 90.00 90.00 120.00
Atoms (fractional coordinates):
Rb: 0.000 0.000 0.000
Ce: 0.000 0.000 0.500
Mo: 0.333 0.667 0.757
Mo: 0.667 0.333 0.243
O: 0.166 0.344 0.683
O: 0.177 0.834 0.683
O: 0.333 0.667 0.974
O: 0.344 0.177 0.317
O: 0.656 0.823 0.683
O: 0.667 0.333 0.026
O: 0.823 0.166 0.317
O: 0.834 0.656 0.317